Entry from Alexandria via LeMat-Bulk: an optimized crystal structure of KTa3Ti (PBEsol).

Results
As for the final energy: -33.48 eV for the cell shown. Its energy of formation from the pure elements is 2727 meV per atom. Its total magnetization is 0.00 μB/f.u.

Unit cell a=4.5660 b=4.5660 c=4.5660 alpha=90.00 beta=90.00 gamma=90.00
With the nearest neighbours (Å) after each atom.
Sites, in units of the cell vectors:
1 Ta 0.0000 0.0000 0.5000  2 K 2.28
2 Ta 0.0000 0.5000 0.0000  2 K 2.28
3 Ta 0.5000 0.0000 0.0000  2 K 2.28
4 K 0.0000 0.0000 0.0000  6 Ta 2.28
5 Ti 0.5000 0.5000 0.5000  12 Ta 3.23

***

Entry from Alexandria via LeMat-Bulk: an optimized crystal structure of KTa2Tl (PBEsol).

Results
As for the final energy: -24.87 eV for the cell shown. Its energy of formation from the pure elements is 998 meV per atom. Its total magnetization is 0.00 μB/f.u.

Unit cell a=3.0263 b=5.2159 c=6.8364 alpha=90.00 beta=99.24 gamma=90.00
With the nearest neighbours (Å) after each atom.
Sites, in units of the cell vectors:
1 K 0.0000 0.5000 0.5000  2 K 3.03
2 Ta 0.2698 0.0000 0.1534  2 Ta 2.44-2.70
3 Ta 0.7302 0.0000 0.8466  2 Ta 2.44-2.70
4 Tl 0.5000 0.5000 0.0000  4 Ta 2.94, 2 Tl 3.03

***

Entry from Alexandria via LeMat-Bulk: an optimized crystal structure of KTa2Tl (PBEsol).

Results
As for the final energy: -24.46 eV for the cell shown. Its energy of formation from the pure elements is 1102 meV per atom. Its total magnetization is 0.89 μB/f.u.

Unit cell a=2.9690 b=5.2548 c=5.5887 alpha=90.00 beta=90.00 gamma=90.00
With the nearest neighbours (Å) after each atom.
Sites, in units of the cell vectors:
1 Ta 0.5000 0.5000 0.0000  6 Ta 2.97-3.02, 4 K 3.16
2 Ta 0.0000 0.0000 0.0000  6 Ta 2.97-3.02, 4 Tl 3.16
3 K 0.0000 0.5000 0.5000  2 K 2.97, 4 Tl 3.02, 4 Ta 3.16
4 Tl 0.5000 0.0000 0.5000  2 Tl 2.97, 4 K 3.02, 4 Ta 3.16

***

Entry from Alexandria via LeMat-Bulk: an optimized crystal structure of KTa2Tl (PBEsol).

Results
As for the final energy: -25.31 eV for the cell shown. Its energy of formation from the pure elements is 890 meV per atom. Its total magnetization is 0.00 μB/f.u.

Unit cell a=2.8495 b=5.3314 c=6.6819 alpha=113.51 beta=102.31 gamma=90.00
With the nearest neighbours (Å) after each atom.
Sites, in units of the cell vectors:
1 Ta 0.2188 0.2188 0.4375  6 Ta 2.85-3.11, 2 Tl 2.97
2 Ta 0.7812 0.7812 0.5625  6 Ta 2.85-3.11, 2 Tl 2.97
3 K 0.0000 0.5000 0.0000  2 K 2.85, 4 Tl 3.02
4 Tl 0.5000 0.0000 0.0000  2 Tl 2.85, 4 Ta 2.97, 4 K 3.02

***

Entry from Alexandria via LeMat-Bulk: an optimized crystal structure of KTa2W (PBEsol).

Results
As for the final energy: -37.50 eV for the cell shown. Its energy of formation from the pure elements is 635 meV per atom. Its total magnetization is 0.00 μB/f.u.

Unit cell a=2.8802 b=2.8802 c=10.8203 alpha=90.00 beta=90.00 gamma=113.35
With the nearest neighbours (Å) after each atom.
Sites, in units of the cell vectors:
1 W 0.5000 0.5000 0.5000  4 Ta 2.68, 4 W 2.88
2 K 0.5000 0.5000 0.0000  6 K 2.88-3.16
3 Ta 0.0000 0.0000 0.6999  2 W 2.68, 4 Ta 2.88
4 Ta 0.0000 0.0000 0.3001  2 W 2.68, 4 Ta 2.88

***

Entry from Alexandria via LeMat-Bulk: an optimized crystal structure of K2TaW (PBEsol).

Results
As for the final energy: -24.95 eV for the cell shown. Its energy of formation from the pure elements is 918 meV per atom. Its total magnetization is 0.00 μB/f.u.

Unit cell a=3.3818 b=3.3818 c=10.8475 alpha=90.00 beta=90.00 gamma=90.00
With the nearest neighbours (Å) after each atom.
Sites, in units of the cell vectors:
1 W 0.5000 0.5000 0.6793  4 Ta 2.62
2 K 0.0000 0.0000 0.9232  4 K 3.38, 4 W 3.57, 1 Ta 3.72
3 K 0.5000 0.5000 0.3175  4 K 3.38, 4 Ta 3.72
4 Ta 0.0000 0.0000 0.5800  4 W 2.62

***

Entry from Alexandria via LeMat-Bulk: an optimized crystal structure of KTaW3 (PBEsol).

Results
As for the final energy: -38.24 eV for the cell shown. Its energy of formation from the pure elements is 3374 meV per atom. Its total magnetization is 0.00 μB/f.u.

Unit cell a=4.4373 b=4.4373 c=4.4373 alpha=90.00 beta=90.00 gamma=90.00
With the nearest neighbours (Å) after each atom.
Sites, in units of the cell vectors:
1 Ta 0.5000 0.5000 0.5000  12 W 3.14
2 W 0.5000 0.0000 0.0000  2 K 2.22
3 W 0.0000 0.0000 0.5000  2 K 2.22
4 W 0.0000 0.5000 0.0000  2 K 2.22
5 K 0.0000 0.0000 0.0000  6 W 2.22

***

Entry from Alexandria via LeMat-Bulk: an optimized crystal structure of KYTa2 (PBEsol).

Results
As for the final energy: -28.11 eV for the cell shown. Its energy of formation from the pure elements is 1236 meV per atom. Its total magnetization is 0.00 μB/f.u.

Unit cell a=4.0330 b=4.0330 c=6.1392 alpha=109.18 beta=109.18 gamma=90.00
With the nearest neighbours (Å) after each atom.
Sites, in units of the cell vectors:
1 K 0.0000 0.0000 0.0000  4 Y 2.85
2 Ta 0.2500 0.7500 0.5000  4 Ta 2.85
3 Ta 0.7500 0.2500 0.5000  4 Ta 2.85
4 Y 0.5000 0.5000 0.0000  4 K 2.85

***

Entry from Alexandria via LeMat-Bulk: an optimized crystal structure of KYTa2 (PBEsol).

Results
As for the final energy: -30.07 eV for the cell shown. Its energy of formation from the pure elements is 747 meV per atom. Its total magnetization is 0.00 μB/f.u.

Unit cell a=3.1960 b=3.1960 c=11.5746 alpha=82.06 beta=82.06 gamma=60.00
With the nearest neighbours (Å) after each atom.
Sites, in units of the cell vectors:
1 K 0.2578 0.2578 0.2265  6 K 3.20
2 Y 0.4831 0.4831 0.5507  3 Ta 3.12, 6 Y 3.20
3 Ta 0.7429 0.7429 0.7714  3 Ta 2.76
4 Ta 0.0162 0.0162 0.9514  3 Ta 2.76

***

Entry from Alexandria via LeMat-Bulk: an optimized crystal structure of KY3Ta (PBEsol).

Results
As for the final energy: -25.80 eV for the cell shown. Its energy of formation from the pure elements is 1670 meV per atom. Its total magnetization is 0.00 μB/f.u.

Unit cell a=5.0739 b=5.0739 c=5.0739 alpha=90.00 beta=90.00 gamma=90.00
With the nearest neighbours (Å) after each atom.
Sites, in units of the cell vectors:
1 K 0.0000 0.0000 0.0000  6 Y 2.54
2 Y 0.0000 0.5000 0.0000  2 K 2.54
3 Y 0.5000 0.0000 0.0000  2 K 2.54
4 Y 0.0000 0.0000 0.5000  2 K 2.54
5 Ta 0.5000 0.5000 0.5000  12 Y 3.59

***

Entry from Alexandria via LeMat-Bulk: an optimized crystal structure of KY2Ta (PBEsol).

Results
As for the final energy: -24.65 eV for the cell shown. Its energy of formation from the pure elements is 669 meV per atom. Its total magnetization is 0.00 μB/f.u.

Unit cell a=3.1646 b=3.1646 c=11.8584 alpha=90.00 beta=90.00 gamma=90.00
With the nearest neighbours (Å) after each atom.
Sites, in units of the cell vectors:
1 K 0.0000 0.0000 0.5233  4 K 3.16
2 Y 0.0000 0.0000 0.9692  4 Ta 3.08, 4 Y 3.16
3 Y 0.5000 0.5000 0.2169  4 Y 3.16
4 Ta 0.5000 0.5000 0.7906  4 Y 3.08, 4 Ta 3.16

***

Entry from Alexandria via LeMat-Bulk: an optimized crystal structure of KYTa2 (PBEsol).

Results
As for the final energy: -29.34 eV for the cell shown. Its energy of formation from the pure elements is 928 meV per atom. Its total magnetization is 0.00 μB/f.u.

Unit cell a=2.9036 b=2.9036 c=11.7555 alpha=90.00 beta=90.00 gamma=109.81
With the nearest neighbours (Å) after each atom.
Sites, in units of the cell vectors:
1 Y 0.5000 0.5000 0.5000  4 Y 2.90, 4 Ta 3.11
2 Ta 0.0000 0.0000 0.2768  4 Ta 2.90, 2 Y 3.11
3 Ta 0.0000 0.0000 0.7232  4 Ta 2.90, 2 Y 3.11
4 K 0.5000 0.5000 0.0000  4 K 2.90

***

Entry from Alexandria via LeMat-Bulk: an optimized crystal structure of KYTa2 (PBEsol).

Results
As for the final energy: -28.16 eV for the cell shown. Its energy of formation from the pure elements is 1223 meV per atom. Its total magnetization is 0.00 μB/f.u.

Unit cell a=4.0424 b=4.0424 c=5.4140 alpha=90.00 beta=90.00 gamma=90.00
With the nearest neighbours (Å) after each atom.
Sites, in units of the cell vectors:
1 Y 0.5000 0.5000 0.5000  4 K 2.86
2 Ta 0.0000 0.5000 0.0000  4 Ta 2.86
3 Ta 0.5000 0.0000 0.0000  4 Ta 2.86
4 K 0.0000 0.0000 0.5000  4 Y 2.86

***

Entry from Alexandria via LeMat-Bulk: an optimized crystal structure of KYTa2 (PBEsol).

Results
As for the final energy: -28.78 eV for the cell shown. Its energy of formation from the pure elements is 1071 meV per atom. Its total magnetization is 0.00 μB/f.u.

Unit cell a=3.0395 b=5.9511 c=6.5931 alpha=116.83 beta=103.33 gamma=90.00
With the nearest neighbours (Å) after each atom.
Sites, in units of the cell vectors:
1 Ta 0.0380 0.0380 0.0760  2 Ta 2.58
2 Ta 0.7218 0.2218 0.4436  2 Ta 2.58
3 K 0.2661 0.7661 0.5322  2 K 3.04, 4 Ta 3.38
4 Y 0.4741 0.4741 0.9481  2 Y 3.04, 2 Ta 3.25

***

Entry from Alexandria via LeMat-Bulk: an optimized crystal structure of KY2Ta (PBEsol).

Results
As for the final energy: -24.19 eV for the cell shown. Its energy of formation from the pure elements is 785 meV per atom. Its total magnetization is 0.00 μB/f.u.

Unit cell a=3.3094 b=4.5132 c=8.7070 alpha=90.00 beta=90.00 gamma=90.00
With the nearest neighbours (Å) after each atom.
Sites, in units of the cell vectors:
1 Ta 0.5000 0.5000 0.8309  5 Y 3.01-3.02, 2 Ta 3.31
2 Y 0.5000 0.5000 0.1780  1 Ta 3.02, 2 Y 3.31
3 Y 0.0000 0.0000 0.9578  4 Ta 3.01, 2 Y 3.31
4 K 0.0000 0.0000 0.5333  2 K 3.31, 1 Y 3.70

***

Entry from Alexandria via LeMat-Bulk: an optimized crystal structure of KY2Ta (PBEsol).

Results
As for the final energy: -23.13 eV for the cell shown. Its energy of formation from the pure elements is 1050 meV per atom. Its total magnetization is 0.01 μB/f.u.

Unit cell a=4.6573 b=4.6573 c=6.0276 alpha=112.73 beta=112.73 gamma=90.00
With the nearest neighbours (Å) after each atom.
Sites, in units of the cell vectors:
1 Y 0.7500 0.2500 0.5000  4 Ta 3.29, 4 K 3.43, 4 Y 3.43
2 Y 0.0000 0.0000 0.0000  4 K 3.29, 4 Ta 3.43, 4 Y 3.43
3 Ta 0.2500 0.7500 0.5000  8 Y 3.29-3.43, 4 K 3.43
4 K 0.5000 0.5000 0.0000  8 Y 3.29-3.43, 4 Ta 3.43

***

Entry from Alexandria via LeMat-Bulk: an optimized crystal structure of KYTa2 (PBEsol).

Results
As for the final energy: -26.77 eV for the cell shown. Its energy of formation from the pure elements is 1571 meV per atom. Its total magnetization is 1.73 μB/f.u.

Unit cell a=2.8363 b=5.8414 c=5.8414 alpha=90.00 beta=90.00 gamma=90.00
With the nearest neighbours (Å) after each atom.
Sites, in units of the cell vectors:
1 Ta 0.0000 0.5000 0.0000  2 Ta 2.84
2 Ta 0.0000 0.0000 0.5000  2 Ta 2.84
3 K 0.5000 0.0000 0.0000  2 K 2.84
4 Y 0.5000 0.5000 0.5000  2 Y 2.84

***

Entry from Alexandria via LeMat-Bulk: an optimized crystal structure of KTaZn4 (PBEsol).

Results
As for the final energy: -17.10 eV for the cell shown. Its energy of formation from the pure elements is 485 meV per atom. Its total magnetization is 0.00 μB/f.u.

Unit cell a=5.2276 b=5.2276 c=5.2276 alpha=60.00 beta=60.00 gamma=60.00
With the nearest neighbours (Å) after each atom.
Sites, in units of the cell vectors:
1 Zn 0.3721 0.3721 0.8838  6 Zn 2.55-2.67
2 Zn 0.3721 0.3721 0.3721  6 Zn 2.55-2.67
3 Zn 0.8838 0.3721 0.3721  6 Zn 2.55-2.67
4 Zn 0.3721 0.8838 0.3721  6 Zn 2.55-2.67
5 K 0.7500 0.7500 0.7500  12 Zn 3.07, 4 Ta 3.20
6 Ta 0.0000 0.0000 0.0000  12 Zn 3.06, 4 K 3.20

***

Entry from Alexandria via LeMat-Bulk: an optimized crystal structure of KTa2Zn (PBEsol).

Results
As for the final energy: -25.01 eV for the cell shown. Its energy of formation from the pure elements is 701 meV per atom. Its total magnetization is 0.00 μB/f.u.

Unit cell a=2.6545 b=5.2202 c=6.5423 alpha=113.52 beta=101.71 gamma=90.00
With the nearest neighbours (Å) after each atom.
Sites, in units of the cell vectors:
1 K 0.5000 0.0000 0.0000  2 K 2.65, 4 Zn 2.93
2 Ta 0.7137 0.7136 0.4273  2 Ta 2.65, 2 Zn 2.83
3 Ta 0.2863 0.2864 0.5727  2 Ta 2.65, 2 Zn 2.83
4 Zn 0.0000 0.5000 0.0000  2 Zn 2.65, 4 Ta 2.83, 4 K 2.93

***

Entry from Alexandria via LeMat-Bulk: an optimized crystal structure of KTa2Zn (PBEsol).

Results
As for the final energy: -23.29 eV for the cell shown. Its energy of formation from the pure elements is 1132 meV per atom. Its total magnetization is 0.52 μB/f.u.

Unit cell a=2.8736 b=5.7585 c=6.2205 alpha=117.57 beta=103.35 gamma=90.00
With the nearest neighbours (Å) after each atom.
Sites, in units of the cell vectors:
1 Ta 0.7464 0.2464 0.4927  4 Ta 2.62-2.87, 2 Zn 2.79
2 Ta 0.0410 0.0410 0.0821  4 Ta 2.62-2.87
3 Zn 0.4705 0.4705 0.9410  2 Ta 2.79, 2 Zn 2.87
4 K 0.2421 0.7421 0.4842  2 K 2.87, 4 Ta 3.22